# PBE TbTl3S3, optimized geometry
# **ΔE_f (raw)**: -1.0111 eV/atom
# **Total DFT energy (no corrections)**: -0.1637 hartree per atom
data_TbTl3S3
_chemical_formula_sum 'Tb2 Tl6 S6'
_cell_length_a 4.078
_cell_length_b 8.779
_cell_length_c 11.962
_cell_angle_alpha 86.47
_cell_angle_beta 90.00
_cell_angle_gamma 90.00
_space_group_name_H-M_alt 'P 1'
_space_group_IT_number 1
loop_
_space_group_symop_operation_xyz
'x,y,z'
loop_
_atom_site_label
_atom_site_type_symbol
_atom_site_fract_x
_atom_site_fract_y
_atom_site_fract_z
S1 S 0.250 0.328 0.608
S2 S 0.250 0.905 0.153
S3 S 0.750 0.102 0.386
S4 S 0.750 0.095 0.847
S5 S 0.250 0.898 0.614
S6 S 0.750 0.672 0.392
Tl1 Tl 0.250 0.857 0.875
Tl2 Tl 0.250 0.334 0.854
Tl3 Tl 0.750 0.143 0.125
Tl4 Tl 0.250 0.384 0.364
Tl5 Tl 0.750 0.666 0.146
Tl6 Tl 0.750 0.616 0.636
Tb1 Tb 0.750 0.114 0.617
Tb2 Tb 0.250 0.886 0.383